(1)
A plane-wave DFT calculation with PBE was carried out for a geometry-optimized MgZnSe structure.

a b c (Å): 3.7780 3.7780 8.9628
angles (deg): 90.00 90.00 90.00
Atoms (fractional coordinates):
Mg 0.5000 0.0000 0.8624
Mg 0.0000 0.5000 0.1376
Zn 0.0000 0.0000 0.5000
Zn 0.5000 0.5000 0.5000
Se 0.5000 0.0000 0.1664
Se 0.0000 0.5000 0.8336

ΔE_f (raw) in eV/atom: -0.61
Space-group type: P4/nmm
Energy above the most stable polymorph in this dataset in eV per atom: 0.0000

***

(2)
A plane-wave DFT calculation with PBE was carried out for a geometry-optimized MgZn2Se4 structure.

a b c (Å): 6.6001 6.6001 6.6001
angles (deg): 97.43 97.43 137.85
Atoms (fractional coordinates):
Mg 0.0000 0.0000 0.0000
Zn 0.7500 0.2500 0.5000
Zn 0.2500 0.7500 0.5000
Se 0.5000 0.2583 0.7583
Se 0.5000 0.7417 0.2417
Se 0.7417 0.5000 0.2417
Se 0.2583 0.5000 0.7583

ΔE_f (raw) in eV/atom: -0.13
Space-group type: I4/mmm
Energy above the most stable polymorph in this dataset in eV per atom: 0.2531

***

(3)
A plane-wave DFT calculation with PBE was carried out for a geometry-optimized MgZnSe structure.

a b c (Å): 6.4154 6.4154 6.4154
angles (deg): 90.00 90.00 90.00
Atoms (fractional coordinates):
Zn 0.4795 0.4795 0.4795
Zn 0.0205 0.5205 0.9795
Zn 0.5205 0.9795 0.0205
Zn 0.9795 0.0205 0.5205
Mg 0.1114 0.1114 0.1114
Mg 0.3886 0.8886 0.6114
Mg 0.8886 0.6114 0.3886
Mg 0.6114 0.3886 0.8886
Se 0.8779 0.8779 0.8779
Se 0.6221 0.1221 0.3779
Se 0.1221 0.3779 0.6221
Se 0.3779 0.6221 0.1221

ΔE_f (raw) in eV/atom: -0.34
Space-group type: P2_13
Energy above the most stable polymorph in this dataset in eV per atom: 0.2720

***

(4)
A plane-wave DFT calculation with PBE was carried out for a geometry-optimized MgZrSe3 structure.

a b c (Å): 3.9675 7.2743 11.5047
angles (deg): 123.22 90.00 90.00
Atoms (fractional coordinates):
Mg 0.2500 0.2262 0.6036
Mg 0.7500 0.7738 0.3964
Zr 0.2500 0.0922 0.1663
Zr 0.7500 0.9078 0.8337
Se 0.2500 0.2074 0.9823
Se 0.7500 0.7926 0.0177
Se 0.2500 0.9255 0.3335
Se 0.7500 0.0745 0.6665
Se 0.2500 0.6301 0.6777
Se 0.7500 0.3699 0.3223

ΔE_f (raw) in eV/atom: -1.22
Space-group type: P2_1/m
Energy above the most stable polymorph in this dataset in eV per atom: 0.0000

***

(5)
A plane-wave DFT calculation with PBE was carried out for a geometry-optimized MgZr2Se5 structure.

a b c (Å): 5.1592 5.1568 7.9394
angles (deg): 80.65 71.04 59.98
Atoms (fractional coordinates):
Mg 0.5000 0.5000 0.5000
Zr 0.8196 0.5000 0.8608
Zr 0.1804 0.5000 0.1392
Se 0.1776 0.8264 0.8184
Se 0.4960 0.8264 0.1816
Se 0.0000 0.5000 0.5000
Se 0.8224 0.1736 0.1816
Se 0.5040 0.1736 0.8184

ΔE_f (raw) in eV/atom: -1.07
Space-group type: Fmmm

***

(6)
A plane-wave DFT calculation with PBE was carried out for a geometry-optimized Mg2Zr2Se structure.

a b c (Å): 6.9465 6.9465 4.8987
angles (deg): 90.00 90.00 90.00
Atoms (fractional coordinates):
Mg 0.1472 0.6472 0.5000
Mg 0.6472 0.8528 0.5000
Mg 0.8528 0.3528 0.5000
Mg 0.3528 0.1472 0.5000
Se 0.0000 0.0000 0.0000
Se 0.5000 0.5000 0.0000
Zr 0.3434 0.8434 0.0000
Zr 0.8434 0.6566 0.0000
Zr 0.6566 0.1566 0.0000
Zr 0.1566 0.3434 0.0000

ΔE_f (raw) in eV/atom: -0.35
Space-group type: P4/mbm

***

(7)
A plane-wave DFT calculation with PBE was carried out for a geometry-optimized MgZrSe3 structure.

a b c (Å): 5.2212 5.2212 5.2212
angles (deg): 90.00 90.00 90.00
Atoms (fractional coordinates):
Mg 0.5000 0.5000 0.5000
Se 0.0000 0.5000 0.0000
Se 0.0000 0.0000 0.5000
Se 0.5000 0.0000 0.0000
Zr 0.0000 0.0000 0.0000

ΔE_f (raw) in eV/atom: -0.60
Space-group type: Pm-3m
Energy above the most stable polymorph in this dataset in eV per atom: 0.6248

***

(8)
A plane-wave DFT calculation with PBE was carried out for a geometry-optimized MgZrSe3 structure.

a b c (Å): 4.9104 4.9104 4.9104
angles (deg): 90.00 90.00 90.00
Atoms (fractional coordinates):
Mg 0.0000 0.0000 0.0000
Se 0.0000 0.5000 0.0000
Se 0.0000 0.0000 0.5000
Se 0.5000 0.0000 0.0000
Zr 0.5000 0.5000 0.5000

ΔE_f (raw) in eV/atom: -0.13
Space-group type: Pm-3m
Energy above the most stable polymorph in this dataset in eV per atom: 1.0891

***

(9)
A plane-wave DFT calculation with PBE was carried out for a geometry-optimized Mg4ZrSe structure.

a b c (Å): 5.7594 5.7594 5.7594
angles (deg): 60.00 60.00 60.00
Site moments in Bohr magnetons follow the coordinates.
Atoms (fractional coordinates):
Mg 0.8783 0.3739 0.3739  0.02
Mg 0.3739 0.3739 0.8783  0.02
Mg 0.3739 0.8783 0.3739  0.02
Mg 0.3739 0.3739 0.3739  0.02
Zr 0.0000 0.0000 0.0000  1.08
Se 0.7500 0.7500 0.7500  0.02

ΔE_f (raw) in eV/atom: 0.17
Space-group type: F-43m

***

(10)
A plane-wave DFT calculation with PBE was carried out for a geometry-optimized Mg5Si9 structure.

a b c (Å): 6.9296 7.1997 12.7060
angles (deg): 84.16 77.16 62.56
Atoms (fractional coordinates):
Mg 0.4569 0.0566 0.2784
Mg 0.8373 0.9161 0.5563
Mg 0.1041 0.4109 0.4648
Mg 0.6558 0.5414 0.6344
Mg 0.6085 0.3596 0.4365
Mg 0.3146 0.9445 0.5283
Mg 0.8061 0.7685 0.8261
Mg 0.3459 0.8126 0.1020
Mg 0.2065 0.1812 0.8904
Mg 0.9064 0.5886 0.0505
Si 0.3407 0.7165 0.8570
Si 0.5091 0.3428 0.1035
Si 0.0844 0.2579 0.6900
Si 0.0026 0.8126 0.2944
Si 0.2408 0.4936 0.7569
Si 0.9601 0.2739 0.2193
Si 0.5974 0.1848 0.7250
Si 0.6432 0.6162 0.2540
Si 0.8270 0.1900 0.8366
Si 0.0403 0.0772 0.3811
Si 0.8477 0.0557 0.1463
Si 0.9779 0.9159 0.9656
Si 0.4526 0.9300 0.7180
Si 0.3576 0.5044 0.2750
Si 0.2692 0.2159 0.0788
Si 0.6392 0.5014 0.9476
Si 0.7267 0.7206 0.4059
Si 0.2411 0.6107 0.5776

ΔE_f (raw) in eV/atom: 0.11
Space-group type: P1
Energy above the most stable polymorph in this dataset in eV per atom: 0.0095

***

(11)
A plane-wave DFT calculation with PBE was carried out for a geometry-optimized MgSi2 structure.

a b c (Å): 5.5562 5.5562 12.3810
angles (deg): 71.22 71.22 38.86
Atoms (fractional coordinates):
Mg 0.0456 0.0456 0.8106
Mg 0.7037 0.7037 0.1365
Mg 0.7372 0.7372 0.3746
Mg 0.8168 0.8168 0.6743
Si 0.9495 0.9495 0.1728
Si 0.7068 0.7068 0.9087
Si 0.1930 0.1930 0.5676
Si 0.0406 0.0406 0.3264
Si 0.3389 0.3389 0.9327
Si 0.4822 0.4822 0.0477
Si 0.4336 0.4336 0.4495
Si 0.5378 0.5378 0.5989

ΔE_f (raw) in eV/atom: 0.08
Space-group type: Cm
Energy above the most stable polymorph in this dataset in eV per atom: 0.0555

***

(12)
A plane-wave DFT calculation with PBE was carried out for a geometry-optimized MgSi2 structure.

a b c (Å): 9.2702 9.2702 6.7093
angles (deg): 89.77 89.77 23.78
Atoms (fractional coordinates):
Mg 0.1612 0.1612 0.5020
Mg 0.8946 0.8946 0.0572
Mg 0.8388 0.8388 0.4980
Mg 0.1054 0.1054 0.9428
Si 0.4190 0.4190 0.7394
Si 0.7043 0.7043 0.1470
Si 0.5810 0.5810 0.2606
Si 0.2957 0.2957 0.8530
Si 0.7181 0.7181 0.7780
Si 0.0062 0.0062 0.3220
Si 0.2819 0.2819 0.2220
Si 0.9938 0.9938 0.6780

ΔE_f (raw) in eV/atom: 0.12
Space-group type: C2/m
Energy above the most stable polymorph in this dataset in eV per atom: 0.0946

***

(13)
A plane-wave DFT calculation with PBE was carried out for a geometry-optimized MgSi2 structure.

a b c (Å): 5.1967 5.7061 7.7228
angles (deg): 109.65 96.98 87.67
Atoms (fractional coordinates):
Mg 0.8226 0.4057 0.0801
Mg 0.7352 0.2147 0.6657
Mg 0.5269 0.7742 0.7956
Mg 0.7955 0.9833 0.2491
Si 0.0571 0.7365 0.9493
Si 0.3105 0.3504 0.8789
Si 0.6770 0.4767 0.4235
Si 0.2158 0.0568 0.5477
Si 0.3634 0.7192 0.2772
Si 0.3115 0.1170 0.0923
Si 0.9881 0.7575 0.6397
Si 0.1967 0.4080 0.4008

ΔE_f (raw) in eV/atom: 0.16
Space-group type: P1
Energy above the most stable polymorph in this dataset in eV per atom: 0.1317

***

(14)
A plane-wave DFT calculation with PBE was carried out for a geometry-optimized Mg5Si9 structure.

a b c (Å): 5.7719 6.6331 13.9782
angles (deg): 82.73 81.88 74.68
Atoms (fractional coordinates):
Mg 0.0303 0.5332 0.6993
Mg 0.0309 0.1402 0.4006
Mg 0.6088 0.8640 0.5377
Mg 0.4979 0.2506 0.3717
Mg 0.6391 0.3347 0.5952
Mg 0.1567 0.6414 0.4653
Mg 0.9288 0.3922 0.0074
Mg 0.1444 0.7513 0.8790
Mg 0.4780 0.1757 0.1614
Mg 0.3904 0.9994 0.9822
Si 0.2383 0.6264 0.1031
Si 0.6866 0.7073 0.8652
Si 0.8976 0.8557 0.3084
Si 0.3360 0.0109 0.7112
Si 0.4720 0.8493 0.3174
Si 0.7316 0.0475 0.7699
Si 0.8058 0.3791 0.2208
Si 0.3968 0.3364 0.8249
Si 0.0378 0.0557 0.1578
Si 0.9865 0.9586 0.6128
Si 0.0478 0.1793 0.8370
Si 0.8738 0.8792 0.0523
Si 0.1202 0.4993 0.2711
Si 0.5238 0.6354 0.7247
Si 0.5773 0.7137 0.1584
Si 0.4628 0.4004 0.9819
Si 0.2190 0.2232 0.5597
Si 0.6812 0.5599 0.4232

ΔE_f (raw) in eV/atom: 0.13
Space-group type: P1
Energy above the most stable polymorph in this dataset in eV per atom: 0.0318

***

(15)
A plane-wave DFT calculation with PBE was carried out for a geometry-optimized Mg6Si5 structure.

a b c (Å): 5.3009 6.9063 11.6046
angles (deg): 87.02 89.63 82.07
Atoms (fractional coordinates):
Mg 0.0548 0.6346 0.8883
Mg 0.7901 0.1933 0.5511
Mg 0.9616 0.6924 0.5966
Mg 0.3090 0.0053 0.4186
Mg 0.0946 0.7683 0.1606
Mg 0.5810 0.4779 0.7678
Mg 0.3881 0.9296 0.6793
Mg 0.0826 0.4646 0.3588
Mg 0.6132 0.5054 0.0959
Mg 0.5048 0.8634 0.9296
Mg 0.9150 0.1183 0.9768
Mg 0.5082 0.0364 0.1675
Si 0.8327 0.8766 0.3744
Si 0.4813 0.6131 0.5332
Si 0.3785 0.2587 0.9364
Si 0.9867 0.1377 0.2193
Si 0.6371 0.2899 0.3319
Si 0.2750 0.3125 0.5761
Si 0.0715 0.2864 0.7617
Si 0.5374 0.6534 0.3191
Si 0.1284 0.4048 0.0919
Si 0.8718 0.9739 0.7613

ΔE_f (raw) in eV/atom: 0.04
Space-group type: P1
Energy above the most stable polymorph in this dataset in eV per atom: 0.0459

***

(16)
A plane-wave DFT calculation with PBE was carried out for a geometry-optimized Mg6Si5 structure.

a b c (Å): 4.6217 6.8827 14.1890
angles (deg): 96.41 92.82 97.49
Atoms (fractional coordinates):
Mg 0.8271 0.0415 0.0309
Mg 0.1776 0.9191 0.5162
Mg 0.7046 0.0395 0.3830
Mg 0.6410 0.7501 0.6303
Mg 0.7821 0.5109 0.7974
Mg 0.3831 0.8200 0.1492
Mg 0.6066 0.5885 0.3936
Mg 0.7393 0.2399 0.5859
Mg 0.3361 0.7767 0.9167
Mg 0.2684 0.3650 0.1292
Mg 0.8043 0.5684 0.0146
Mg 0.2241 0.3008 0.9057
Si 0.1232 0.5454 0.5439
Si 0.2633 0.2679 0.4485
Si 0.7278 0.2121 0.2177
Si 0.6626 0.1112 0.8460
Si 0.3302 0.0992 0.7022
Si 0.1300 0.7969 0.3231
Si 0.8202 0.5656 0.2034
Si 0.2561 0.4382 0.6979
Si 0.9901 0.9017 0.7875
Si 0.1987 0.1415 0.2807

ΔE_f (raw) in eV/atom: 0.10
Space-group type: P1
Energy above the most stable polymorph in this dataset in eV per atom: 0.1006

***

(17)
A plane-wave DFT calculation with PBE was carried out for a geometry-optimized Mg6Si5 structure.

a b c (Å): 4.1958 8.6952 12.2983
angles (deg): 78.21 81.39 77.34
Atoms (fractional coordinates):
Mg 0.0253 0.3885 0.9163
Mg 0.0222 0.6268 0.6498
Mg 0.1080 0.7143 0.3586
Mg 0.8429 0.7938 0.8804
Mg 0.6274 0.3568 0.7163
Mg 0.6776 0.8306 0.1656
Mg 0.3039 0.3184 0.3434
Mg 0.8754 0.0442 0.5415
Mg 0.2367 0.0983 0.7551
Mg 0.5468 0.2025 0.0965
Mg 0.3522 0.5925 0.0747
Mg 0.1851 0.9742 0.0099
Si 0.2070 0.3287 0.5679
Si 0.5286 0.9977 0.3562
Si 0.0568 0.0449 0.2298
Si 0.4620 0.5966 0.8340
Si 0.4146 0.8291 0.6845
Si 0.5172 0.7657 0.5004
Si 0.9485 0.3576 0.1581
Si 0.6808 0.4766 0.4866
Si 0.6695 0.1209 0.8934
Si 0.7077 0.5408 0.2845

ΔE_f (raw) in eV/atom: 0.05
Space-group type: P1
Energy above the most stable polymorph in this dataset in eV per atom: 0.0521

***

(18)
A plane-wave DFT calculation with PBE was carried out for a geometry-optimized MgSi2 structure.

a b c (Å): 5.9578 7.3060 9.5868
angles (deg): 90.00 90.00 90.00
Atoms (fractional coordinates):
Mg 0.7599 0.9431 0.6624
Mg 0.2553 0.9639 0.1494
Mg 0.7447 0.4639 0.3506
Mg 0.2401 0.4431 0.8376
Mg 0.2599 0.5569 0.3376
Mg 0.7553 0.5361 0.8506
Mg 0.2447 0.0361 0.6494
Mg 0.7401 0.0569 0.1624
Si 0.5571 0.3256 0.6243
Si 0.0521 0.3432 0.1172
Si 0.5457 0.8448 0.4062
Si 0.0444 0.8277 0.8996
Si 0.4556 0.1723 0.3996
Si 0.9543 0.1552 0.9062
Si 0.4479 0.6568 0.6172
Si 0.9429 0.6744 0.1243
Si 0.9479 0.8432 0.3828
Si 0.4429 0.8256 0.8757
Si 0.9556 0.3277 0.6004
Si 0.4543 0.3448 0.0938
Si 0.0457 0.6552 0.5938
Si 0.5444 0.6723 0.1004
Si 0.0571 0.1744 0.3757
Si 0.5521 0.1568 0.8828

ΔE_f (raw) in eV/atom: 0.12
Space-group type: P2_12_12_1
Energy above the most stable polymorph in this dataset in eV per atom: 0.0961

***

(19)
A plane-wave DFT calculation with PBE was carried out for a geometry-optimized MgSi2 structure.

a b c (Å): 5.1033 5.1033 12.7612
angles (deg): 87.42 87.42 41.92
Atoms (fractional coordinates):
Mg 0.7912 0.7912 0.8103
Mg 0.2088 0.2088 0.1897
Mg 0.6168 0.6168 0.4043
Mg 0.3832 0.3832 0.5957
Si 0.9363 0.9363 0.0933
Si 0.0637 0.0637 0.9067
Si 0.0702 0.0702 0.7166
Si 0.9298 0.9298 0.2834
Si 0.3496 0.3496 0.9783
Si 0.6504 0.6504 0.0217
Si 0.3355 0.3355 0.3839
Si 0.6645 0.6645 0.6161

ΔE_f (raw) in eV/atom: 0.17
Space-group type: C2/m
Energy above the most stable polymorph in this dataset in eV per atom: 0.1484

***

| no. | ρ (g cm⁻³) |
| --- | --- |
| 1 | 4.38 |
| 2 | 4.34 |
| 3 | 4.24 |
| 4 | 4.21 |
| 5 | 5.77 |
| 6 | 4.36 |
| 7 | 4.11 |
| 8 | 4.94 |
| 9 | 3.29 |
| 10 | 2.27 |
| 11 | 2.37 |
| 12 | 2.30 |
| 13 | 2.50 |
| 14 | 2.44 |
| 15 | 2.26 |
| 16 | 2.14 |
| 17 | 2.23 |
| 18 | 2.56 |
| 19 | 2.41 |